No. 1
Computed, not measured: an optimized crystal structure of Ba6IrI3N2 at the PBE level of DFT.

The formation energy from raw total energies is -0.9326 eV per atom.

The space group is C2/m (No. 12) and the conventional cell measures 7.572, 13.115 and 8.769 Å, with angles of 90.00, 106.77 and 90.00 degrees. The distinct sites, in fractional coordinates, are Ba at (0.205, 0.000, 0.178), Ba at (0.237, 0.323, 0.179), Ir at (0.000, 0.500, 0.000), I at (0.000, 0.000, 0.500), I at (0.000, 0.337, 0.500) and N at (0.000, 0.167, 0.000).

=====

No. 2
Computed, not measured: an optimized crystal structure of BaIrI2N at the PBE level of DFT.

The formation energy from raw total energies is 1.5246 eV per atom. The energy above the most stable polymorph in this dataset comes out at 1868.3 meV/atom.

The space group is P4/mmm (No. 123) and the conventional cell measures 6.728, 6.728 and 4.640 Å, with angles of 90.00, 90.00 and 90.00 degrees. The distinct sites, in fractional coordinates, are Ba at (0.000, 0.000, 0.000), Ir at (0.500, 0.500, 0.500), I at (0.000, 0.500, 0.000) and N at (0.000, 0.000, 0.500).

=====

No. 3
Computed, not measured: an optimized crystal structure of Ba2NaIrI at the PBE level of DFT.

The formation energy from raw total energies is -0.3916 eV per atom.

The space group is P4/mmm (No. 123) and the conventional cell measures 6.009, 6.009 and 5.571 Å, with angles of 90.00, 90.00 and 90.00 degrees. The distinct sites, in fractional coordinates, are Ba at (0.000, 0.500, 0.000), Na at (0.000, 0.000, 0.500), Ir at (0.000, 0.000, 0.000) and I at (0.500, 0.500, 0.500).

=====

No. 4
Computed, not measured: an optimized crystal structure of Ba6Ir2I3O at the PBE level of DFT.

The formation energy from raw total energies is -1.1395 eV per atom.

The space group is C2/m (No. 12) and the conventional cell measures 7.747, 13.409 and 8.857 Å, with angles of 90.00, 107.00 and 90.00 degrees. The distinct sites, in fractional coordinates, are Ba at (0.220, 0.157, 0.187), Ba at (0.249, 0.500, 0.189), Ir at (0.000, 0.334, 0.000), I at (0.000, 0.171, 0.500), I at (0.000, 0.500, 0.500) and O at (0.000, 0.000, 0.000).